# 1
VASP calculation (PBE) on a relaxed LiYH6Pt2 crystal.

Cell: 5.7918 5.7918 5.7918 Å, 45.36 45.36 45.36°
With the nearest neighbours (Å) after each atom.
Fractional coordinates of all 10 atoms:
Li (0.0000, 0.0000, 0.0000)  6 H 1.98
Y (0.5000, 0.5000, 0.5000)  12 H 2.45
H (0.0522, 0.0522, 0.5899)  1 Pt 1.65
H (0.0522, 0.5899, 0.0522)  1 Pt 1.65
H (0.4101, 0.9478, 0.9478)  1 Pt 1.65
H (0.5899, 0.0522, 0.0522)  1 Pt 1.65
H (0.9478, 0.4101, 0.9478)  1 Pt 1.65
H (0.9478, 0.9478, 0.4101)  1 Pt 1.65
Pt (0.2891, 0.2891, 0.2891)  3 H 1.65
Pt (0.7109, 0.7109, 0.7109)  3 H 1.65

## Properties
- theoretical density (g cm⁻³) = 9.1
- M_tot (μB per cell) = 0.00
- SG = R-3m (166)
- energy (eV per atom) = -4.493


# 2
VASP calculation (PBE) on a relaxed Li2TaSi crystal.

Cell: 2.8117 3.9221 5.8136 Å, 90.00 103.95 90.00°
With the nearest neighbours (Å) after each atom.
Fractional coordinates of all 4 atoms:
Li (0.0000, 0.0000, 0.0000)  2 Si 2.52, 6 Li 2.63-2.81
Li (0.4047, 0.5000, 0.8145)  6 Li 2.63-2.81
Ta (0.7343, 0.0000, 0.4794)  4 Si 2.66, 2 Ta 2.81, 1 Li 2.94
Si (0.1348, 0.5000, 0.2803)  2 Li 2.52, 4 Ta 2.66, 2 Si 2.81

## Properties
- theoretical density (g cm⁻³) = 5.9
- formation energy (no corrections) (eV/atom) = 0.02
- M_tot (μB per cell) = 0.00
- SG = Pm (6)
- energy (eV per atom) = -5.257


# 3
VASP calculation (PBE) on a relaxed MnHg2P2 crystal.

Cell: 9.4076 9.4076 9.4076 Å, 159.89 159.89 28.59°
With the nearest neighbours (Å) after each atom.
Fractional coordinates of all 5 atoms:
Mn (0.0000, 0.0000, 0.0000)  8 Hg 2.93
Hg (0.4024, 0.4024, 0.0000)  4 Mn 2.93, 4 P 3.23
Hg (0.5976, 0.5976, 0.0000)  4 Mn 2.93, 4 P 3.23
P (0.2500, 0.7500, 0.5000)  4 P 2.32
P (0.7500, 0.2500, 0.5000)  4 P 2.32

## Properties
- theoretical density (g cm⁻³) = 8.7
- formation enthalpy at 0 K (meV/atom) = 388
- M_tot (μB per cell) = 4.29
- SG = I4/mmm (139)
- energy (eV per atom) = -3.730


# 4
VASP calculation (PBE) on a relaxed Tb6Tm8Sn crystal.

Cell: 9.0953 9.0953 6.6824 Å, 90.00 90.00 120.00°
With the nearest neighbours (Å) after each atom.
Fractional coordinates of all 15 atoms:
Tb (0.0764, 0.6843, 0.3969)  3 Tm 3.14-3.47, 1 Tb 3.23, 1 Sn 3.35
Tb (0.3157, 0.3922, 0.3969)  3 Tm 3.14-3.47, 1 Tb 3.23, 1 Sn 3.35
Tb (0.3922, 0.0764, 0.6031)  3 Tm 3.14-3.47, 1 Tb 3.23, 1 Sn 3.35
Tb (0.6078, 0.9236, 0.3969)  3 Tm 3.14-3.47, 1 Tb 3.23, 1 Sn 3.35
Tb (0.6843, 0.6078, 0.6031)  3 Tm 3.14-3.47, 1 Tb 3.23, 1 Sn 3.35
Tb (0.9236, 0.3157, 0.6031)  3 Tm 3.14-3.47, 1 Tb 3.23, 1 Sn 3.35
Tm (0.0180, 0.3323, 0.1082)  3 Tb 3.14-3.47, 3 Tm 3.25-3.28
Tm (0.3143, 0.9820, 0.1082)  3 Tb 3.14-3.47, 3 Tm 3.25-3.28
Tm (0.3323, 0.3143, 0.8918)  3 Tb 3.14-3.47, 3 Tm 3.25-3.28
Tm (0.3333, 0.6667, 0.8078)  6 Tm 3.25-3.58
Tm (0.6667, 0.3333, 0.1922)  6 Tm 3.25-3.58
Tm (0.6677, 0.6857, 0.1082)  3 Tb 3.14-3.47, 3 Tm 3.25-3.28
Tm (0.6857, 0.0180, 0.8918)  3 Tb 3.14-3.47, 3 Tm 3.25-3.28
Tm (0.9820, 0.6677, 0.8918)  3 Tb 3.14-3.47, 3 Tm 3.25-3.28
Sn (0.0000, 0.0000, 0.5000)  6 Tb 3.35

## Properties
- theoretical density (g cm⁻³) = 8.4
- formation enthalpy at 0 K (meV/atom) = 172
- M_tot (μB per cell) = 0.00
- SG = P-3 (147)
- energy (eV per atom) = -4.332


# 5
VASP calculation (PBE) on a relaxed CuWCl4 crystal.

Cell: 5.7213 5.7213 5.7213 Å, 60.00 60.00 60.00°
With the nearest neighbours (Å) after each atom.
Fractional coordinates of all 6 atoms:
Cu (0.0000, 0.0000, 0.0000)  12 Cl 3.35, 4 W 3.50
W (0.7500, 0.7500, 0.7500)  12 Cl 3.35, 4 Cu 3.50
Cl (0.3749, 0.3749, 0.3749)  6 Cl 2.86
Cl (0.3749, 0.3749, 0.8754)  6 Cl 2.86
Cl (0.3749, 0.8754, 0.3749)  6 Cl 2.86
Cl (0.8754, 0.3749, 0.3749)  6 Cl 2.86

## Properties
- theoretical density (g cm⁻³) = 4.9
- formation energy (no corrections) (eV/atom) = 1.51
- M_tot (μB per cell) = 2.74
- SG = F-43m (216)
- energy (eV per atom) = -2.561
- excess energy over the best structure of this formula in the dataset (eV per atom) = 2.0875


# 6
VASP calculation (PBE) on a relaxed GaBr2F crystal.

Cell: 8.2814 8.2814 8.2814 Å, 25.83 25.83 25.83°
With the nearest neighbours (Å) after each atom.
Fractional coordinates of all 4 atoms:
Ga (0.0000, 0.0000, 0.0000)  6 Br 2.71
Br (0.4027, 0.4027, 0.4027)  1 F 2.34
Br (0.5973, 0.5973, 0.5973)  1 F 2.34
F (0.5000, 0.5000, 0.5000)  2 Br 2.34

## Properties
- theoretical density (g cm⁻³) = 4.3
- formation energy (no corrections) (eV/atom) = -0.49
- M_tot (μB per cell) = 0.00
- SG = R-3m (166)
- energy (eV per atom) = -2.549
- excess energy over the best structure of this formula in the dataset (eV per atom) = 0.9056


# 7
VASP calculation (PBE) on a relaxed AcAl2 crystal.

Cell: 6.2744 6.2744 6.2744 Å, 136.63 104.18 91.61°
With the nearest neighbours (Å) after each atom.
Fractional coordinates of all 6 atoms:
Ac (0.3104, 0.0604, 0.2500)  12 Al 3.37-3.72
Ac (0.6896, 0.9396, 0.7500)  12 Al 3.37-3.72
Al (0.1000, 0.6673, 0.4328)  3 Al 2.73-2.82
Al (0.2655, 0.3327, 0.9328)  3 Al 2.73-2.82
Al (0.7345, 0.6673, 0.0672)  3 Al 2.73-2.82
Al (0.9000, 0.3327, 0.5672)  3 Al 2.73-2.82

## Properties
- theoretical density (g cm⁻³) = 6.0
- formation enthalpy at 0 K (meV/atom) = -356
- M_tot (μB per cell) = 0.00
- SG = Imma (74)
- energy (eV per atom) = -4.221
- excess energy over the best structure of this formula in the dataset (eV per atom) = 0.0016


# 8
VASP calculation (PBE) on a relaxed Hf3V8W crystal.

Cell: 8.9703 8.9703 8.9703 Å, 32.88 32.88 32.88°
With the nearest neighbours (Å) after each atom.
Fractional coordinates of all 12 atoms:
Hf (0.0000, 0.0000, 0.0000)  12 V 2.93-2.98, 3 W 3.10, 1 Hf 3.22
Hf (0.1266, 0.1266, 0.1266)  12 V 2.99-3.09, 4 Hf 3.14-3.22
Hf (0.5040, 0.5040, 0.5040)  12 V 2.98-3.15, 1 W 3.12, 3 Hf 3.14
V (0.0585, 0.5628, 0.5628)  6 V 2.52-2.66
V (0.0654, 0.0654, 0.5694)  6 V 2.51-2.59
V (0.0654, 0.5694, 0.0654)  6 V 2.51-2.59
V (0.3134, 0.3134, 0.3134)  6 V 2.51-2.54
V (0.5628, 0.0585, 0.5628)  6 V 2.52-2.66
V (0.5628, 0.5628, 0.0585)  6 V 2.52-2.66
V (0.5694, 0.0654, 0.0654)  6 V 2.51-2.59
V (0.8158, 0.8158, 0.8158)  6 V 2.59-2.66
W (0.6266, 0.6266, 0.6266)  12 V 2.96-2.98, 4 Hf 3.10-3.12

## Properties
- theoretical density (g cm⁻³) = 9.9
- formation enthalpy at 0 K (meV/atom) = 0
- M_tot (μB per cell) = 0.00
- SG = R3m (160)
- energy (eV per atom) = -9.647
- excess energy over the best structure of this formula in the dataset (eV per atom) = 0.0142


# 9
VASP calculation (PBE) on a relaxed Dy3UCo3 crystal.

Cell: 6.5456 6.5456 14.0965 Å, 113.61 113.61 32.03°
With the nearest neighbours (Å) after each atom.
Fractional coordinates of all 14 atoms:
Dy (0.0385, 0.0385, 0.2983)  4 Co 2.66-2.94
Dy (0.1649, 0.1649, 0.5810)  6 Co 2.84-3.00
Dy (0.3622, 0.3622, 0.8646)  6 Co 2.91-2.99
Dy (0.6378, 0.6378, 0.1354)  6 Co 2.91-2.99
Dy (0.8351, 0.8351, 0.4190)  6 Co 2.84-3.00
Dy (0.9615, 0.9615, 0.7017)  4 Co 2.66-2.94
U (0.3356, 0.3356, 0.0932)  3 Co 2.21-2.44
U (0.6644, 0.6644, 0.9068)  3 Co 2.21-2.44
Co (0.0617, 0.0617, 0.9497)  2 U 2.44, 1 Co 2.50
Co (0.3386, 0.3386, 0.2507)  1 U 2.21
Co (0.4840, 0.4840, 0.5726)  1 Co 2.25
Co (0.5160, 0.5160, 0.4274)  1 Co 2.25
Co (0.6614, 0.6614, 0.7493)  1 U 2.21
Co (0.9383, 0.9383, 0.0503)  2 U 2.44, 1 Co 2.50

## Properties
- theoretical density (g cm⁻³) = 10.3
- formation enthalpy at 0 K (meV/atom) = -188
- M_tot (μB per cell) = 0.00
- SG = C2/m (12)
- energy (eV per atom) = -6.819


# 10
VASP calculation (PBE) on a relaxed UMnAg2S6 crystal.

Cell: 6.9133 6.9133 6.9133 Å, 54.87 54.87 54.87°
With the nearest neighbours (Å) after each atom.
Fractional coordinates of all 10 atoms:
U (0.0000, 0.0000, 0.0000)  6 S 2.57-2.58
Mn (0.5011, 0.5011, 0.5011)  6 S 2.39-2.40
Ag (0.3087, 0.3087, 0.3087)  6 S 2.62-2.79
Ag (0.8074, 0.8074, 0.8074)  6 S 2.57-2.78
S (0.1364, 0.7452, 0.3843)  1 Mn 2.40, 1 Ag 2.57, 1 U 2.58
S (0.2583, 0.6132, 0.8675)  1 Mn 2.39, 1 U 2.57, 1 Ag 2.62
S (0.3843, 0.1364, 0.7452)  1 Mn 2.40, 1 Ag 2.57, 1 U 2.58
S (0.6132, 0.8675, 0.2583)  1 Mn 2.39, 1 U 2.57, 1 Ag 2.62
S (0.7452, 0.3843, 0.1364)  1 Mn 2.40, 1 Ag 2.57, 1 U 2.58
S (0.8675, 0.2583, 0.6132)  1 Mn 2.39, 1 U 2.57, 1 Ag 2.62

## Properties
- theoretical density (g cm⁻³) = 5.7
- formation energy (no corrections) (eV/atom) = -0.50
- M_tot (μB per cell) = 3.14
- SG = R3 (146)
- energy (eV per atom) = -5.592


# 11
VASP calculation (PBE) on a relaxed PmHo12Sc6 crystal.

Cell: 8.9988 8.9988 8.9988 Å, 107.37 107.37 107.37°
With the nearest neighbours (Å) after each atom.
Fractional coordinates of all 19 atoms:
Pm (0.0000, 0.0000, 0.0000)  6 Ho 3.53
Ho (0.1124, 0.5000, 0.8876)  4 Sc 3.18-3.29, 3 Ho 3.26-3.50
Ho (0.1124, 0.8876, 0.5000)  4 Sc 3.18-3.29, 3 Ho 3.26-3.50
Ho (0.1509, 0.3767, 0.3767)  1 Sc 2.96, 2 Ho 3.27
Ho (0.3767, 0.1509, 0.3767)  1 Sc 2.96, 2 Ho 3.27
Ho (0.3767, 0.3767, 0.1509)  1 Sc 2.96, 2 Ho 3.27
Ho (0.5000, 0.1124, 0.8876)  4 Sc 3.18-3.29, 3 Ho 3.26-3.50
Ho (0.5000, 0.8876, 0.1124)  4 Sc 3.18-3.29, 3 Ho 3.26-3.50
Ho (0.6233, 0.6233, 0.8491)  1 Sc 2.96, 2 Ho 3.27
Ho (0.6233, 0.8491, 0.6233)  1 Sc 2.96, 2 Ho 3.27
Ho (0.8491, 0.6233, 0.6233)  1 Sc 2.96, 2 Ho 3.27
Ho (0.8876, 0.1124, 0.5000)  4 Sc 3.18-3.29, 3 Ho 3.26-3.50
Ho (0.8876, 0.5000, 0.1124)  4 Sc 3.18-3.29, 3 Ho 3.26-3.50
Sc (0.2755, 0.6919, 0.6919)  5 Ho 2.96-3.29
Sc (0.3081, 0.3081, 0.7245)  5 Ho 2.96-3.29
Sc (0.3081, 0.7245, 0.3081)  5 Ho 2.96-3.29
Sc (0.6919, 0.2755, 0.6919)  5 Ho 2.96-3.29
Sc (0.6919, 0.6919, 0.2755)  5 Ho 2.96-3.29
Sc (0.7245, 0.3081, 0.3081)  5 Ho 2.96-3.29

## Properties
- theoretical density (g cm⁻³) = 6.6
- formation enthalpy at 0 K (meV/atom) = 428
- M_tot (μB per cell) = 0.00
- SG = R-3m (166)
- energy (eV per atom) = -4.713
- excess energy over the best structure of this formula in the dataset (eV per atom) = 0.1828


# 12
VASP calculation (PBE) on a relaxed TbDyPb2 crystal.

Cell: 9.4120 9.4120 9.4120 Å, 23.99 23.99 23.99°
With the nearest neighbours (Å) after each atom.
Fractional coordinates of all 4 atoms:
Tb (0.0000, 0.0000, 0.0000)  6 Pb 3.22
Dy (0.5000, 0.5000, 0.5000)  6 Pb 3.21
Pb (0.2497, 0.2497, 0.2497)  3 Dy 3.21, 3 Tb 3.22
Pb (0.7503, 0.7503, 0.7503)  3 Dy 3.21, 3 Tb 3.22

## Properties
- theoretical density (g cm⁻³) = 10.1
- formation enthalpy at 0 K (meV/atom) = -359
- M_tot (μB per cell) = 0.00
- SG = R-3m (166)
- energy (eV per atom) = -4.521